# 1
Computed, not measured: Ca2ScCr after structural relaxation at the PBE level of DFT.

extended XYZ file:
```
4
Lattice="8.882 -0.136 0.219 8.267 3.251 0.219 0.927 0.168 4.166" Properties=species:S:1:pos:R:3 pbc="T T T"
Sc 13.558 2.462 3.453
Ca 15.720 2.855 0.766
Cr 4.519 0.821 1.151
Ca 10.468 1.901 1.973
```

Properties
Its formation energy is 0.46 eV per atom. As for the energy above the most stable polymorph in this dataset: 15.6 kJ/mol of atoms.



# 2
Computed, not measured: Cu2SBr after structural relaxation at the PBE level of DFT.

extended XYZ file:
```
8
Lattice="-2.470 2.462 -4.254 4.129 -1.544 -3.290 -1.809 -4.162 -4.914" Properties=species:S:1:pos:R:3 pbc="T T T"
Cu -0.127 -2.236 -10.111
Br 0.000 0.000 0.000
Cu 1.687 -1.566 -4.045
Br -1.724 -0.621 -6.471
S 0.830 0.459 -3.772
Cu -1.347 0.173 -4.070
Cu -0.513 -2.860 -6.692
S 1.575 -2.624 -5.989
```

Properties
As for the raw formation energy: -5.8 kcal/mol of atoms. As for the energy above the most stable polymorph in this dataset: 0.0 kJ/mol of atoms.



# 3
Computed, not measured: Sm2Er13 after structural relaxation at the PBE level of DFT.

extended XYZ file:
```
15
Lattice="-5.151 3.222 2.454 2.544 -4.252 7.371 3.149 8.277 -0.736" Properties=species:S:1:pos:R:3 pbc="T T T"
Er -0.180 5.202 3.967
Er -1.062 8.350 2.875
Er 2.529 7.429 2.735
Er -2.682 3.058 5.347
Er -1.728 2.274 2.402
Er 0.003 1.152 8.492
Er 0.000 0.000 0.000
Er -1.987 -0.183 6.353
Er 0.723 2.045 5.121
Er 0.540 6.094 0.596
Sm 1.319 2.837 1.534
Er 3.224 4.188 3.741
Sm -0.776 4.409 7.554
Er 2.271 4.972 6.686
Er 1.604 -1.103 6.213
```

Properties
Its formation energy is 0.07 eV per atom.



# 4
Computed, not measured: LiAcIn after structural relaxation at the PBE level of DFT.

extended XYZ file:
```
3
Lattice="3.826 0.000 0.000 0.000 3.826 0.000 -1.913 -1.913 5.993" Properties=species:S:1:pos:R:3 pbc="T T T"
In 1.913 1.913 5.040
Ac 1.913 1.913 1.350
Li 0.000 0.000 3.798
```

Properties
Its formation energy is -0.18 eV per atom. As for the energy above the most stable polymorph in this dataset: 12.0 kJ/mol of atoms.



# 5
Computed, not measured: NaNbO3 after structural relaxation at the PBE level of DFT.

extended XYZ file:
```
20
Lattice="-2.566 0.789 -4.934 -3.624 -4.216 1.211 -4.877 5.157 3.361" Properties=species:S:1:pos:R:3 pbc="T T T"
O -4.409 -1.005 -0.799
Nb -8.346 1.211 -0.214
O -7.196 -0.350 -0.728
Nb -5.913 -1.363 -1.891
O -3.670 3.680 2.221
O -5.691 0.034 -3.153
Na -2.954 -0.541 -3.456
Na -3.395 -3.070 -0.215
O -2.811 1.169 -1.815
O -1.591 -1.130 -0.574
O -5.531 4.046 0.060
O -7.129 1.872 1.077
Nb -5.289 2.936 1.575
Na -5.296 2.120 -1.761
O -7.827 2.292 -1.681
O -4.407 1.457 0.545
O -4.990 -2.751 -3.019
O -1.535 1.421 0.749
Nb -2.856 0.362 -0.103
Na -5.778 -0.398 1.402
```

Properties
As for the raw formation energy: -55.8 kcal/mol of atoms.



# 6
Computed, not measured: Hf4TeC after structural relaxation at the PBE level of DFT.

extended XYZ file:
```
12
Lattice="5.668 -0.445 0.000 -1.430 6.727 0.000 -2.119 -3.141 6.471" Properties=species:S:1:pos:R:3 pbc="T T T"
Te 0.702 3.252 1.360
C -2.132 3.475 5.586
Te 1.417 -0.111 5.111
Hf 2.995 -1.021 2.707
Hf 2.534 1.085 0.716
Hf 3.249 -2.278 5.756
Hf -1.130 5.419 0.716
Hf -0.161 0.799 2.707
Hf -0.415 2.056 5.756
Hf -0.876 4.163 3.764
Hf 2.280 2.342 3.764
C 4.251 -0.334 0.885
```

Properties
As for the raw formation energy: -8.7 kcal/mol of atoms.



# 7
Computed, not measured: LaAl4Ag12 after structural relaxation at the PBE level of DFT.

extended XYZ file:
```
17
Lattice="7.834 0.000 0.000 -2.611 7.386 0.000 -2.611 -3.693 6.396" Properties=species:S:1:pos:R:3 pbc="T T T"
Ag 2.624 -0.128 2.216
Al 1.306 1.846 3.198
Ag 2.599 5.403 0.997
Al -1.306 3.693 0.000
Ag 1.616 0.558 5.399
Ag -2.599 1.838 5.177
Ag 5.210 1.855 1.219
Ag 3.607 2.989 3.183
Al 3.917 0.000 0.000
Ag -0.995 0.704 3.214
La 0.000 0.000 0.000
Ag 0.995 3.135 0.997
Ag -0.013 3.821 4.180
Al -1.306 -1.846 3.198
Ag 0.013 -1.710 5.399
Ag 4.227 -1.262 4.180
Ag -1.616 4.955 2.216
```

Properties
Its formation energy is 0.20 eV per atom.



# 8
Computed, not measured: Pm3In5Ni6 after structural relaxation at the PBE level of DFT.

extended XYZ file:
```
14
Lattice="-3.415 -2.704 -0.750 1.552 -3.542 -7.323 2.936 -7.651 1.196" Properties=species:S:1:pos:R:3 pbc="T T T"
Ni 0.259 -6.123 -5.149
Pm 1.943 -8.459 -4.395
In -0.509 -2.222 -2.694
Ni 1.734 -5.650 -0.546
Ni 0.815 -7.774 -1.727
Ni -0.026 -10.132 -2.421
Pm 0.000 0.000 0.000
In 2.244 -5.596 -3.063
In 1.583 -11.675 -4.182
In 1.143 -10.369 -6.891
Ni -0.660 -8.247 -6.331
Ni 1.099 -3.765 -4.455
Pm -0.870 -5.438 -2.481
In -0.069 -3.528 0.015
```

Properties
Its formation energy is -0.37 eV per atom.



# 9
Computed, not measured: CsPd3Pt after structural relaxation at the PBE level of DFT.

extended XYZ file:
```
5
Lattice="-3.804 0.934 3.236 1.239 -4.151 2.654 3.131 2.777 2.880" Properties=species:S:1:pos:R:3 pbc="T T T"
Cs 0.284 -0.220 4.385
Pt 0.000 0.000 0.000
Pd -1.902 0.467 1.618
Pd 1.566 1.388 1.440
Pd 0.620 -2.075 1.327
```

Properties
Its formation energy is 0.54 eV per atom. As for the energy above the most stable polymorph in this dataset: 0.0 kJ/mol of atoms.



# 10
Computed, not measured: SrLi3U4S12 after structural relaxation at the PBE level of DFT.

extended XYZ file:
```
20
Lattice="-7.934 -3.108 0.538 5.175 -5.956 -3.262 2.733 2.189 7.787" Properties=species:S:1:pos:R:3 pbc="T T T"
Li 3.954 -1.883 2.262
Sr 0.000 0.000 0.000
S -5.079 -2.670 2.370
U -3.967 -1.554 0.269
S 1.705 -3.992 4.439
S -1.731 -2.884 0.624
S -1.925 -4.172 4.175
S 1.899 -2.703 0.888
Li -1.380 -4.532 -1.362
S 5.053 -4.206 2.693
U -0.013 -3.438 2.531
U 1.367 1.095 3.894
S -2.267 -1.296 6.607
S -2.831 -6.500 -0.463
S 2.805 -0.376 5.525
U 2.588 -2.978 -1.631
S 0.167 -5.946 1.776
S 2.241 -5.580 -1.544
S -0.193 -0.929 3.286
Li -2.600 -0.460 4.163
```

Properties
As for the raw formation energy: -30.8 kcal/mol of atoms.



# 11
Computed, not measured: SiSbTe2 after structural relaxation at the PBE level of DFT.

extended XYZ file:
```
4
Lattice="-4.708 -2.288 0.875 3.854 -3.649 0.029 0.087 -2.390 4.718" Properties=species:S:1:pos:R:3 pbc="T T T"
Te 0.000 0.000 0.000
Te -0.427 -2.968 0.452
Si 1.971 -3.019 2.373
Sb -2.311 -2.339 2.797
```

Properties
As for the raw formation energy: 5.5 kcal/mol of atoms. As for the energy above the most stable polymorph in this dataset: 10.9 kJ/mol of atoms.



# 12
Computed, not measured: Cs2NaIBr4 after structural relaxation at the PBE level of DFT.

extended XYZ file:
```
16
Lattice="-3.391 7.249 -6.499 -4.870 1.383 8.981 9.787 0.595 1.161" Properties=species:S:1:pos:R:3 pbc="T T T"
Br -1.133 6.516 1.245
Cs 4.894 0.298 0.580
Br 0.890 2.902 6.379
Na -0.932 8.239 -1.428
Br -6.180 7.464 1.122
I 0.763 4.614 1.821
I 6.397 7.845 -5.339
Cs -4.130 4.316 1.241
Na -2.435 0.692 4.491
Br 5.409 6.141 -0.884
Br 0.637 6.326 -2.736
Br 7.706 1.764 2.521
Br 2.660 2.712 2.398
Br -3.882 3.086 4.527
Cs -1.695 3.625 -3.250
Cs 3.198 3.922 -2.669
```

Properties
As for the raw formation energy: -28.7 kcal/mol of atoms.



no.,volume (Å³ per cell)
1,124.26
2,164.67
3,463.48
4,87.75
5,251.02
6,242.61
7,370.11
8,270.04
9,131.12
10,479.18
11,114.55
12,797.73